1.
PrYInCu, relaxed, DFT PBE-GGA; raw total energy = -4.805 eV/atom; N(E_F) = 3.9 states/eV/f.u.
1.0
0.0000 3.7315 3.7315
3.7315 0.0000 3.7315
3.7315 3.7315 0.0000
Pr Y In Cu
1 1 1 1
Cartesian
0.0000 0.0000 0.0000
3.7315 3.7315 3.7315
1.8657 1.8657 1.8657
5.5972 5.5972 5.5972

=====

2.
PrZnInCu, relaxed, DFT PBE-GGA; raw total energy = -3.534 eV/atom; N(E_F) = 1.7 states/eV/f.u.
1.0
0.0000 3.4595 3.4595
3.4595 0.0000 3.4595
3.4595 3.4595 0.0000
Pr Zn In Cu
1 1 1 1
Cartesian
0.0000 0.0000 0.0000
1.7298 1.7298 1.7298
3.4595 3.4595 3.4595
5.1893 5.1893 5.1893

=====

Q: Which value of N(E_F) does entry 2 give?
A: 1.7 states/eV/f.u.